(1)
The following is a DFT calculation (PBE-GGA) of a geometry-optimized ReSiAs3 structure.

a = 4.6363 Å, b = 4.6363 Å, c = 4.6363 Å
α = 90.00°, β = 90.00°, γ = 90.00°
Closest atoms and distances in Å follow each position.
Atoms (fractional coordinates):
As  0.0000  0.5000  0.0000  2 Si 2.32
Si  0.0000  0.0000  0.0000  6 As 2.32
As  0.0000  0.0000  0.5000  2 Si 2.32
Re  0.5000  0.5000  0.5000  12 As 3.28
As  0.5000  0.0000  0.0000  2 Si 2.32

Computed properties:
For the uncorrected formation energy, the calculation gives 1.35 eV per atom. For the total magnetization, the calculation gives 0.494 μB per atom. The total DFT energy (no corrections) is -25.05 eV/cell. The density of states at the Fermi level comes out at 0.57 states/eV per atom.



(2)
The following is a DFT calculation (PBE-GGA) of a geometry-optimized Ho4Ge6O19 structure.

a = 7.4610 Å, b = 7.4610 Å, c = 7.4610 Å
α = 109.47°, β = 109.47°, γ = 109.47°
Closest atoms and distances in Å follow each position.
Atoms (fractional coordinates):
Ge  0.1660  0.6660  0.5000  6 O 1.87-1.95
O  0.6533  0.6533  0.0000  2 Ge 1.95
O  0.6533  0.0000  0.6533  2 Ge 1.95
Ge  0.3340  0.5000  0.8340  6 O 1.87-1.95
O  0.3890  0.6304  0.6656  2 Ge 1.87-1.89
O  0.9647  0.7234  0.3344  2 Ge 1.87-1.89
O  0.7586  0.0353  0.3696  2 Ge 1.87-1.89
O  0.6656  0.3890  0.6304  2 Ge 1.87-1.89
O  0.0000  0.0000  0.0000  4 Ho 2.37
O  0.0353  0.3696  0.7586  2 Ge 1.87-1.89
Ge  0.5000  0.8340  0.3340  6 O 1.87-1.95
O  0.6110  0.2766  0.2414  2 Ge 1.87-1.89
Ge  0.6660  0.5000  0.1660  6 O 1.87-1.95
Ho  0.0000  0.0000  0.6823  10 O 2.37-2.58
O  0.7234  0.3344  0.9647  2 Ge 1.87-1.89
Ho  0.6823  0.0000  0.0000  10 O 2.37-2.58
O  0.0000  0.3467  0.3467  2 Ge 1.95
O  0.2414  0.6110  0.2766  2 Ge 1.87-1.89
O  0.2766  0.2414  0.6110  2 Ge 1.87-1.89
O  0.0000  0.6533  0.6533  2 Ge 1.95
Ge  0.5000  0.1660  0.6660  6 O 1.87-1.95
Ho  0.0000  0.6823  0.0000  10 O 2.37-2.58
O  0.3467  0.0000  0.3467  2 Ge 1.95
O  0.3696  0.7586  0.0353  2 Ge 1.87-1.89
Ho  0.3177  0.3177  0.3177  10 O 2.37-2.58
O  0.6304  0.6656  0.3890  2 Ge 1.87-1.89
O  0.3344  0.9647  0.7234  2 Ge 1.87-1.89
O  0.3467  0.3467  0.0000  2 Ge 1.95
Ge  0.8340  0.3340  0.5000  6 O 1.87-1.95

Computed properties:
For the uncorrected formation energy, the calculation gives -2.16 eV per atom. For the total magnetization, the calculation gives 0.074 μB per atom. The total DFT energy (no corrections) is -202.90 eV/cell. The density of states at the Fermi level comes out at 0.74 states/eV per atom.



(3)
The following is a DFT calculation (PBE-GGA) of a geometry-optimized RuBrN3 structure.

a = 3.9158 Å, b = 3.9158 Å, c = 3.9158 Å
α = 90.00°, β = 90.00°, γ = 90.00°
Closest atoms and distances in Å follow each position.
Atoms (fractional coordinates):
N  0.0000  0.0000  0.5000  2 Ru 1.96
N  0.0000  0.5000  0.0000  2 Ru 1.96
Br  0.5000  0.5000  0.5000  12 N 2.77
N  0.5000  0.0000  0.0000  2 Ru 1.96
Ru  0.0000  0.0000  0.0000  6 N 1.96

Computed properties:
For the uncorrected formation energy, the calculation gives 1.58 eV per atom. For the total magnetization, the calculation gives 0.319 μB per atom. The total DFT energy (no corrections) is -28.02 eV/cell. The density of states at the Fermi level comes out at 0.69 states/eV per atom.



(4)
The following is a DFT calculation (PBE-GGA) of a geometry-optimized Al2ZnPbAu4 structure.

a = 4.3651 Å, b = 4.3651 Å, c = 9.8095 Å
α = 77.14°, β = 77.14°, γ = 60.00°
Closest atoms and distances in Å follow each position.
Atoms (fractional coordinates):
Al  0.2376  0.2376  0.2871  6 Au 2.65-2.72
Al  0.7624  0.7624  0.7129  6 Au 2.65-2.72
Au  0.5995  0.5995  0.2016  3 Al 2.65, 1 Zn 2.83
Au  0.1317  0.1317  0.6048  3 Zn 2.71, 4 Al 2.72-3.01
Zn  0.5000  0.5000  0.5000  8 Au 2.71-2.83
Pb  0.0000  0.0000  0.0000  6 Au 3.16
Au  0.4005  0.4005  0.7984  3 Al 2.65, 1 Zn 2.83
Au  0.8683  0.8683  0.3952  3 Zn 2.71, 4 Al 2.72-3.01

Computed properties:
For the total magnetization, the calculation gives 0.000 μB per atom. The total DFT energy (no corrections) is -27.32 eV/cell. The formation enthalpy at 0 K comes out at -0.22 eV/atom. The density of states at the Fermi level comes out at 0.32 states/eV per atom.



(5)
The following is a DFT calculation (PBE-GGA) of a geometry-optimized Tb2AgTe structure.

a = 4.1860 Å, b = 4.1860 Å, c = 7.8960 Å
α = 74.63°, β = 74.63°, γ = 60.00°
Closest atoms and distances in Å follow each position.
Atoms (fractional coordinates):
Te  0.5000  0.5000  0.5000  6 Tb 3.11
Tb  0.7465  0.7465  0.7604  3 Ag 3.01, 3 Te 3.11
Tb  0.2535  0.2535  0.2396  3 Ag 3.01, 3 Te 3.11
Ag  0.0000  0.0000  0.0000  6 Tb 3.01

Computed properties:
For the uncorrected formation energy, the calculation gives -0.72 eV per atom. For the total magnetization, the calculation gives 0.000 μB per atom. The total DFT energy (no corrections) is -18.15 eV/cell. The density of states at the Fermi level comes out at 0.93 states/eV per atom.